! CuNiF4, optimized geometry, DFT GGA+U; values from VASP
&SYSTEM
  ibrav = 0, nat = 12, ntyp = 3
/
ATOMIC_SPECIES
Cu 63.55 Cu.upf
Ni 58.69 Ni.upf
F 19.00 F.upf
CELL_PARAMETERS angstrom
6.1445 0.0000 0.0000
0.0000 6.1445 0.0000
0.0000 0.0000 5.6403
ATOMIC_POSITIONS crystal
Cu 0.0000 0.5000 0.2500
Cu 0.5000 0.0000 0.7500
Ni 0.0000 0.0000 0.0000
Ni 0.0000 0.0000 0.5000
F 0.0657 0.2938 0.4901
F 0.0657 0.7062 0.0099
F 0.2938 0.0657 0.9901
F 0.2938 0.9343 0.5099
F 0.7062 0.0657 0.5099
F 0.7062 0.9343 0.9901
F 0.9343 0.2938 0.0099
F 0.9343 0.7062 0.4901
! distance to the lowest polymorph of the same formula = 30.9 kJ per mole of atoms
! SG = P-42c (112)
! energy = -0.1416 Ha/atom
! magnetic moment = 0.95 μB per formula unit